1.
Compound: NaNd2Mg
Source: the Alexandria database
Functional: PBE-GGA
Structure: optimized geometry

POSCAR file:
```
NaNd2Mg
1.0
0.0000 3.9777 3.9777
3.9777 0.0000 3.9777
3.9777 3.9777 0.0000
Na Nd Mg
1 2 1
Direct
0.0000 0.0000 0.0000
0.2500 0.2500 0.2500
0.7500 0.7500 0.7500
0.5000 0.5000 0.5000
```

Energy of formation ... 0.130 eV/atom
E above lowest polymorph ... 0.0453 eV/atom
Total magnetization ... 0.0 μB per cell
Symmetry ... Fm-3m
E_tot ... -11.928 eV per cell
Calculated volume ... 126 Å³ per cell



2.
Compound: NaPrNdMg
Source: the Alexandria database
Functional: PBE-GGA
Structure: optimized geometry

POSCAR file:
```
NaPrNdMg
1.0
0.0000 3.9909 3.9909
3.9909 0.0000 3.9909
3.9909 3.9909 0.0000
Na Pr Nd Mg
1 1 1 1
Direct
0.0000 0.0000 0.0000
0.7500 0.7500 0.7500
0.2500 0.2500 0.2500
0.5000 0.5000 0.5000
```

Energy of formation ... 0.124 eV/atom
Total magnetization ... 0.0 μB per cell
Symmetry ... F-43m
E_tot ... -11.964 eV per cell
Calculated volume ... 127 Å³ per cell



3.
Compound: NaNd2MgSe4
Source: the Alexandria database
Functional: PBE-GGA
Structure: optimized geometry

POSCAR file:
```
NaNd2MgSe4
1.0
7.1979 0.0000 0.0000
0.0000 4.1321 0.0000
-2.3313 0.0000 6.8346
Na Nd Mg Se
1 2 1 4
Direct
0.0000 0.0000 0.0000
0.0000 0.5000 0.5000
0.5000 0.0000 0.5000
0.5000 0.5000 0.0000
0.2574 0.5000 0.2415
0.2641 0.0000 0.7684
0.7359 0.0000 0.2316
0.7426 0.5000 0.7585
```

Formation energy from raw total energies ... -1.55 eV/atom
Total magnetization ... 0.0 μB per cell
Symmetry ... P2/m
E_tot ... -38.797 eV per cell
Calculated volume ... 203 Å³ per cell



4.
Compound: NaNdSmMg
Source: the Alexandria database
Functional: PBE-GGA
Structure: optimized geometry

POSCAR file:
```
NaNdSmMg
1.0
0.0000 3.9576 3.9576
3.9576 0.0000 3.9576
3.9576 3.9576 0.0000
Na Nd Sm Mg
1 1 1 1
Direct
0.0000 0.0000 0.0000
0.7500 0.7500 0.7500
0.2500 0.2500 0.2500
0.5000 0.5000 0.5000
```

Energy of formation ... 0.141 eV/atom
Total magnetization ... 0.0 μB per cell
Symmetry ... F-43m
E_tot ... -11.836 eV per cell
Calculated volume ... 124 Å³ per cell



5.
Compound: NaNdMgSn
Source: the Alexandria database
Functional: PBE-GGA
Structure: optimized geometry

POSCAR file:
```
NaNdMgSn
1.0
0.0000 3.8022 3.8022
3.8022 0.0000 3.8022
3.8022 3.8022 0.0000
Na Nd Mg Sn
1 1 1 1
Direct
0.0000 0.0000 0.0000
0.5000 0.5000 0.5000
0.2500 0.2500 0.2500
0.7500 0.7500 0.7500
```

Energy of formation ... -0.268 eV/atom
Total magnetization ... 0.0 μB per cell
Symmetry ... F-43m
E_tot ... -12.756 eV per cell
Calculated volume ... 110 Å³ per cell



6.
Compound: NaNdMgTl
Source: the Alexandria database
Functional: PBE-GGA
Structure: optimized geometry

POSCAR file:
```
NaNdMgTl
1.0
0.0000 3.8179 3.8179
3.8179 0.0000 3.8179
3.8179 3.8179 0.0000
Na Nd Mg Tl
1 1 1 1
Direct
0.0000 0.0000 0.0000
0.5000 0.5000 0.5000
0.2500 0.2500 0.2500
0.7500 0.7500 0.7500
```

Energy of formation ... -0.123 eV/atom
Total magnetization ... 0.0 μB per cell
Symmetry ... F-43m
E_tot ... -10.538 eV per cell
Calculated volume ... 111 Å³ per cell